ScMn4B2: optimized geometry, PBE.

Cell and atoms, written as POSCAR:
```
ScMn4B2
1.0
1.684 -6.579 0.000
1.684 6.579 0.000
0.000 0.000 3.371
Sc Mn B
1 4 2
direct
0.000 0.000 0.000
0.174 0.826 0.500
0.322 0.678 0.000
0.678 0.322 0.000
0.826 0.174 0.500
0.431 0.569 0.500
0.569 0.431 0.500
```

Computed properties:
Volume in Å³ per atom: 10.67
Energy in eV per atom: -8.344
Formation energy from the elements in eV per atom: -0.29

As4WSe: optimized geometry, PBE.

Cell and atoms, written as POSCAR:
```
As4WSe
1.0
0.000 3.861 3.861
3.861 0.000 3.861
3.861 3.861 0.000
As W Se
4 1 1
direct
0.125 0.125 0.125
0.125 0.125 0.625
0.125 0.625 0.125
0.625 0.125 0.125
0.500 0.500 0.500
0.750 0.750 0.750
```

Computed properties:
Volume in Å³ per atom: 19.18
Energy in eV per atom: -4.829
ΔE_f (raw) in meV/atom: 1010

Ce3Tl2Se6: optimized geometry, PBE.

Cell and atoms, written as POSCAR:
```
Ce3Tl2Se6
1.0
3.736 -6.470 0.000
3.736 6.470 0.000
-2.485 0.000 7.694
Ce Tl Se
3 2 6
direct
0.000 0.000 0.000
0.334 0.666 0.000
0.666 0.334 0.000
0.167 0.833 0.500
0.833 0.167 0.500
0.065 0.401 0.203
0.263 0.263 0.796
0.401 0.065 0.203
0.599 0.935 0.797
0.737 0.737 0.204
0.935 0.599 0.797
```

Computed properties:
Volume in Å³ per atom: 33.82
Energy in eV per atom: -5.375
ΔE_f (raw) in meV/atom: -1426

Mg3H4Ir3: optimized geometry, PBE.

Cell and atoms, written as POSCAR:
```
Mg3H4Ir3
1.0
5.139 0.000 0.000
1.908 4.775 0.000
2.408 1.637 4.658
Mg H Ir
3 4 3
direct
0.000 0.000 0.000
0.190 0.193 0.380
0.599 0.592 0.690
0.032 0.504 0.030
0.243 0.653 0.297
0.538 0.949 0.082
0.686 0.160 0.348
0.114 0.597 0.656
0.595 0.077 0.723
0.649 0.543 0.189
```

Computed properties:
Volume in Å³ per atom: 11.43
Energy in eV per atom: -4.702

Which of these has the lowest volume? ScMn4B2

Among the records above, which one has the lowest volume? ScMn4B2